Density functional theory data (PBE-GGA) for a relaxed structure of K3NbSi.

Cell and atoms, written as CIF:
```
data_K3NbSi
_chemical_formula_sum 'K3 Nb1 Si1'
_space_group_name_H-M_alt 'P 1'
_space_group_IT_number 1
_space_group_name_Hall 'P 1'
_cell_length_a 6.362
_cell_length_b 6.362
_cell_length_c 6.362
_cell_angle_alpha 90.00
_cell_angle_beta 90.00
_cell_angle_gamma 90.00
loop_
_atom_site_label
_atom_site_type_symbol
_atom_site_fract_x
_atom_site_fract_y
_atom_site_fract_z
_atom_site_occupancy
Nb1 Nb 0.500 0.500 0.500 1
K1 K 0.500 0.000 0.000 1
K2 K 0.000 0.000 0.500 1
Si1 Si 0.000 0.000 0.000 1
K3 K 0.000 0.500 0.000 1
```

Computed properties:
- ρ: 1.5 Mg/m³
- E_form (uncorrected): 1.391 eV per atom
- V: 257.6 Å³/f.u.
- E_tot: -11.8 eV/cell

=====

Density functional theory data (PBE-GGA) for a relaxed structure of LaHRuRh2.

Cell and atoms, written as CIF:
```
data_LaHRuRh2
_chemical_formula_sum 'La1 H1 Ru1 Rh2'
_space_group_name_H-M_alt 'P 1'
_space_group_IT_number 1
_space_group_name_Hall 'P 1'
_cell_length_a 4.950
_cell_length_b 4.981
_cell_length_c 4.950
_cell_angle_alpha 90.00
_cell_angle_beta 90.00
_cell_angle_gamma 90.00
loop_
_atom_site_label
_atom_site_type_symbol
_atom_site_fract_x
_atom_site_fract_y
_atom_site_fract_z
_atom_site_occupancy
Rh1 Rh 0.000 0.000 0.500 1
La1 La 0.000 0.000 0.000 1
Ru1 Ru 0.000 0.500 0.000 1
Rh2 Rh 0.500 0.000 0.000 1
H1 H 0.500 0.500 0.500 1
```

Computed properties:
- ρ: 6.1 Mg/m³
- V: 122.0 Å³/f.u.
- E_tot: -22.7 eV/cell

=====

Density functional theory data (PBE-GGA) for a relaxed structure of Li5Mo2N5.

Cell and atoms, written as CIF:
```
data_Li5Mo2N5
_chemical_formula_sum 'Li5 Mo2 N5'
_space_group_name_H-M_alt 'P 1'
_space_group_IT_number 1
_space_group_name_Hall 'P 1'
_cell_length_a 3.062
_cell_length_b 5.315
_cell_length_c 8.756
_cell_angle_alpha 108.75
_cell_angle_beta 90.00
_cell_angle_gamma 106.74
loop_
_atom_site_label
_atom_site_type_symbol
_atom_site_fract_x
_atom_site_fract_y
_atom_site_fract_z
_atom_site_occupancy
N1 N 0.104 0.207 0.393 1
Li1 Li 0.744 0.489 0.380 1
Li2 Li 0.500 0.000 0.500 1
Mo1 Mo 0.040 0.080 0.796 1
N2 N 0.666 0.332 0.794 1
N3 N 0.334 0.668 0.206 1
Mo2 Mo 0.960 0.920 0.204 1
Li3 Li 0.256 0.511 0.620 1
N4 N 0.000 0.000 0.000 1
N5 N 0.896 0.793 0.607 1
Li4 Li 0.340 0.680 0.925 1
Li5 Li 0.660 0.320 0.075 1
```

Computed properties:
- ρ: 3.8 Mg/m³
- E_form (uncorrected): -0.530 eV per atom
- V: 128.5 Å³/f.u.
- E_tot: -79.2 eV/cell

=====

Density functional theory data (PBE-GGA) for a relaxed structure of Tb2NbSi.

Cell and atoms, written as CIF:
```
data_Tb2NbSi
_chemical_formula_sum 'Tb2 Nb1 Si1'
_space_group_name_H-M_alt 'P 1'
_space_group_IT_number 1
_space_group_name_Hall 'P 1'
_cell_length_a 3.238
_cell_length_b 3.238
_cell_length_c 10.589
_cell_angle_alpha 81.21
_cell_angle_beta 81.21
_cell_angle_gamma 60.00
loop_
_atom_site_label
_atom_site_type_symbol
_atom_site_fract_x
_atom_site_fract_y
_atom_site_fract_z
_atom_site_occupancy
Tb1 Tb 0.095 0.095 0.716 1
Tb2 Tb 0.905 0.905 0.284 1
Si1 Si 0.500 0.500 0.500 1
Nb1 Nb 0.000 0.000 0.000 1
```

Computed properties:
- ρ: 7.7 Mg/m³
- E_form (uncorrected): 0.398 eV per atom
- V: 94.6 Å³/f.u.
- E_tot: -23.2 eV/cell

=====

Density functional theory data (PBE-GGA) for a relaxed structure of Er2GaFe5B2.

Cell and atoms, written as CIF:
```
data_Er2GaFe5B2
_chemical_formula_sum 'Er4 Ga2 Fe10 B4'
_space_group_name_H-M_alt 'P 1'
_space_group_IT_number 1
_space_group_name_Hall 'P 1'
_cell_length_a 3.164
_cell_length_b 8.937
_cell_length_c 8.937
_cell_angle_alpha 90.00
_cell_angle_beta 90.00
_cell_angle_gamma 90.00
loop_
_atom_site_label
_atom_site_type_symbol
_atom_site_fract_x
_atom_site_fract_y
_atom_site_fract_z
_atom_site_occupancy
B1 B 0.000 0.618 0.882 1
Fe1 Fe 0.500 0.727 0.432 1
B2 B 0.000 0.118 0.618 1
B3 B 0.000 0.882 0.382 1
Fe2 Fe 0.500 0.000 0.500 1
Er1 Er 0.000 0.322 0.822 1
Fe3 Fe 0.500 0.068 0.773 1
Er2 Er 0.000 0.822 0.678 1
Fe4 Fe 0.500 0.773 0.932 1
Fe5 Fe 0.500 0.500 0.000 1
Fe6 Fe 0.500 0.568 0.727 1
Fe7 Fe 0.500 0.932 0.227 1
Fe8 Fe 0.500 0.273 0.568 1
Er3 Er 0.000 0.178 0.322 1
Fe9 Fe 0.500 0.432 0.273 1
Fe10 Fe 0.500 0.227 0.068 1
B4 B 0.000 0.382 0.118 1
Ga1 Ga 0.000 0.500 0.500 1
Ga2 Ga 0.000 0.000 0.000 1
Er4 Er 0.000 0.678 0.178 1
```

Computed properties:
- ρ: 9.3 Mg/m³
- V: 126.3 Å³/f.u.
- E_tot: -140.4 eV/cell
- Calculated formation energy: -0.236 eV/atom

=====

Density functional theory data (PBE-GGA) for a relaxed structure of AcGa2PRu2.

Cell and atoms, written as CIF:
```
data_AcGa2PRu2
_chemical_formula_sum 'Ac1 Ga2 P1 Ru2'
_space_group_name_H-M_alt 'P 1'
_space_group_IT_number 1
_space_group_name_Hall 'P 1'
_cell_length_a 4.465
_cell_length_b 4.465
_cell_length_c 5.926
_cell_angle_alpha 90.00
_cell_angle_beta 90.00
_cell_angle_gamma 90.00
loop_
_atom_site_label
_atom_site_type_symbol
_atom_site_fract_x
_atom_site_fract_y
_atom_site_fract_z
_atom_site_occupancy
P1 P 0.000 0.000 0.000 1
Ga1 Ga 0.500 0.500 0.735 1
Ga2 Ga 0.500 0.500 0.265 1
Ru1 Ru 0.500 0.000 0.000 1
Ru2 Ru 0.000 0.500 0.000 1
Ac1 Ac 0.000 0.000 0.500 1
```

Computed properties:
- ρ: 8.4 Mg/m³
- V: 118.2 Å³/f.u.
- E_tot: -37.0 eV/cell
- Calculated formation energy: -0.485 eV/atom

=====

Density functional theory data (PBE-GGA) for a relaxed structure of CoAg2AsPb.

Cell and atoms, written as CIF:
```
data_CoAg2AsPb
_chemical_formula_sum 'Co1 Ag2 As1 Pb1'
_space_group_name_H-M_alt 'P 1'
_space_group_IT_number 1
_space_group_name_Hall 'P 1'
_cell_length_a 4.818
_cell_length_b 5.963
_cell_length_c 4.818
_cell_angle_alpha 90.00
_cell_angle_beta 90.00
_cell_angle_gamma 90.00
loop_
_atom_site_label
_atom_site_type_symbol
_atom_site_fract_x
_atom_site_fract_y
_atom_site_fract_z
_atom_site_occupancy
Ag1 Ag 0.500 0.000 0.000 1
Co1 Co 0.500 0.500 0.500 1
As1 As 0.000 0.000 0.000 1
Ag2 Ag 0.000 0.000 0.500 1
Pb1 Pb 0.000 0.500 0.000 1
```

Computed properties:
- ρ: 6.7 Mg/m³
- V: 138.4 Å³/f.u.
- E_tot: -16.7 eV/cell
- Calculated formation energy: 0.896 eV/atom

=====

Density functional theory data (PBE-GGA) for a relaxed structure of Pm2SnGeRh6.

Cell and atoms, written as CIF:
```
data_Pm2SnGeRh6
_chemical_formula_sum 'Pm2 Sn1 Ge1 Rh6'
_space_group_name_H-M_alt 'P 1'
_space_group_IT_number 1
_space_group_name_Hall 'P 1'
_cell_length_a 6.211
_cell_length_b 6.639
_cell_length_c 6.624
_cell_angle_alpha 50.85
_cell_angle_beta 81.76
_cell_angle_gamma 104.71
loop_
_atom_site_label
_atom_site_type_symbol
_atom_site_fract_x
_atom_site_fract_y
_atom_site_fract_z
_atom_site_occupancy
Rh1 Rh 0.697 0.695 0.517 1
Pm1 Pm 0.739 0.252 0.514 1
Rh2 Rh 0.703 0.218 0.000 1
Rh3 Rh 0.059 0.244 0.198 1
Rh4 Rh 0.303 0.305 0.483 1
Rh5 Rh 0.297 0.782 0.000 1
Sn1 Sn 0.000 0.000 0.000 1
Ge1 Ge 0.500 0.500 0.000 1
Rh6 Rh 0.941 0.756 0.802 1
Pm2 Pm 0.261 0.748 0.486 1
```

Computed properties:
- ρ: 9.7 Mg/m³
- V: 187.4 Å³/f.u.
- E_tot: -67.3 eV/cell
- Calculated formation energy: -0.509 eV/atom

=====

Density functional theory data (PBE-GGA) for a relaxed structure of V2CrRh5.

Cell and atoms, written as CIF:
```
data_V2CrRh5
_chemical_formula_sum 'V4 Cr2 Rh10'
_space_group_name_H-M_alt 'P 1'
_space_group_IT_number 1
_space_group_name_Hall 'P 1'
_cell_length_a 3.825
_cell_length_b 5.359
_cell_length_c 10.688
_cell_angle_alpha 90.00
_cell_angle_beta 90.00
_cell_angle_gamma 90.00
loop_
_atom_site_label
_atom_site_type_symbol
_atom_site_fract_x
_atom_site_fract_y
_atom_site_fract_z
_atom_site_occupancy
V1 V 0.500 0.266 0.372 1
V2 V 0.500 0.766 0.128 1
Rh1 Rh 0.500 0.267 0.119 1
Rh2 Rh 0.000 0.479 0.755 1
Rh3 Rh 0.000 0.000 0.000 1
V3 V 0.500 0.234 0.872 1
Cr1 Cr 0.000 0.000 0.500 1
Rh4 Rh 0.000 0.979 0.745 1
Rh5 Rh 0.000 0.521 0.245 1
V4 V 0.500 0.734 0.628 1
Rh6 Rh 0.500 0.733 0.881 1
Cr2 Cr 0.000 0.500 0.000 1
Rh7 Rh 0.000 0.021 0.255 1
Rh8 Rh 0.000 0.500 0.500 1
Rh9 Rh 0.500 0.233 0.619 1
Rh10 Rh 0.500 0.767 0.381 1
```

Computed properties:
- ρ: 10.1 Mg/m³
- V: 109.6 Å³/f.u.
- E_tot: -134.2 eV/cell
- Calculated formation energy: -0.308 eV/atom

=====

Density functional theory data (PBE-GGA) for a relaxed structure of LaRu5.

Cell and atoms, written as CIF:
```
data_LaRu5
_chemical_formula_sum 'La1 Ru5'
_space_group_name_H-M_alt 'P 1'
_space_group_IT_number 1
_space_group_name_Hall 'P 1'
_cell_length_a 5.342
_cell_length_b 5.342
_cell_length_c 6.797
_cell_angle_alpha 77.73
_cell_angle_beta 77.73
_cell_angle_gamma 30.95
loop_
_atom_site_label
_atom_site_type_symbol
_atom_site_fract_x
_atom_site_fract_y
_atom_site_fract_z
_atom_site_occupancy
Ru1 Ru 0.252 0.252 0.954 1
Ru2 Ru 0.327 0.327 0.353 1
Ru3 Ru 0.689 0.689 0.648 1
La1 La 0.988 0.988 0.989 1
Ru4 Ru 0.621 0.621 0.304 1
Ru5 Ru 0.956 0.956 0.586 1
```

Computed properties:
- ρ: 11.0 Mg/m³
- V: 97.3 Å³/f.u.
- E_tot: -49.8 eV/cell
- Calculated formation energy: 0.245 eV/atom